Record 1
Entry from Alexandria via LeMat-Bulk: a geometry-optimized FeCo3As structure (PBE).

a = 4.267 Å, b = 4.267 Å, c = 4.267 Å
α = 90.00°, β = 90.00°, γ = 90.00°
Each line ends with the local moment (μB).
Fractional positions:
Fe 0.500 0.500 0.500  3.35
As 0.000 0.000 0.000  0.02
Co 0.500 0.000 0.000  1.51
Co 0.000 0.500 0.000  1.23
Co 0.000 0.000 0.500  1.17

E_form   0.831 eV per atom


Record 2
Entry from Alexandria via LeMat-Bulk: a geometry-optimized Ba3RuN structure (PBE).

a = 5.460 Å, b = 5.460 Å, c = 5.460 Å
α = 90.00°, β = 90.00°, γ = 90.00°
Each line ends with the local moment (μB).
Fractional positions:
Ba 0.000 0.500 0.000  -0.06
Ba 0.500 0.000 0.000  -0.06
Ba 0.000 0.000 0.500  -0.04
Ru 0.500 0.500 0.500  1.26
N 0.000 0.000 0.000  0.17

Formation energy (no corrections)   346 meV/atom